This record from the Alexandria database describes crystalline Na13In2 at its relaxed geometry. The functional is PBE.

Summary:
Its energy relative to the lowest polymorph listed for this composition is 0.738 eV/f.u. For the calculated volume, the calculation gives 36.22 Å³/atom. The magnetization is 0.0 μB/f.u. The formation energy comes out at 0.03 eV/atom. For the total energy, the calculation gives -22.2 eV per formula unit. The calculation puts the density of states at the Fermi level at 0.59 states/eV/atom.

a b c (Å): 8.9237 8.9237 8.9237
angles (deg): 63.68 63.68 63.68
Closest atoms and distances in Å follow each position.
Positions (direct):
Na 0.0000 0.0000 0.0000  2 In 3.01
Na 0.1254 0.1254 0.5163  2 In 3.22-3.58, 2 Na 3.35
Na 0.1254 0.5163 0.1254  2 In 3.22-3.58, 2 Na 3.35
Na 0.3034 0.3034 0.6934  6 Na 3.35-3.67, 1 In 3.43
Na 0.3034 0.6934 0.3034  6 Na 3.35-3.67, 1 In 3.43
Na 0.3066 0.6966 0.6966  6 Na 3.35-3.67, 1 In 3.43
Na 0.4837 0.8746 0.8746  2 In 3.22-3.58, 2 Na 3.35
Na 0.5163 0.1254 0.1254  2 In 3.22-3.58, 2 Na 3.35
Na 0.6934 0.3034 0.3034  6 Na 3.35-3.67, 1 In 3.43
Na 0.6966 0.3066 0.6966  6 Na 3.35-3.67, 1 In 3.43
Na 0.6966 0.6966 0.3066  6 Na 3.35-3.67, 1 In 3.43
Na 0.8746 0.4837 0.8746  2 In 3.22-3.58, 2 Na 3.35
Na 0.8746 0.8746 0.4837  2 In 3.22-3.58, 2 Na 3.35
In 0.1418 0.1418 0.1418  4 Na 3.01-3.22
In 0.8582 0.8582 0.8582  4 Na 3.01-3.22